[1]
VASP calculation (PBE) on GdSnPdPt after structural relaxation.

Lattice parameters (Å, degrees): 4.5878 4.5878 9.0938 90.00 90.00 120.00
With the nearest neighbours (Å) after each atom.
Element x y z (fractional)
Sn1 0.0000 0.0000 0.4963  3 Pt 2.75, 3 Pd 2.78
Pt1 0.6667 0.3333 0.4131  3 Sn 2.75, 1 Pd 2.95, 3 Gd 3.03
Pd1 0.3333 0.6667 0.5882  3 Sn 2.78, 4 Pt 2.95-3.09, 4 Gd 3.04-3.05
Pd2 0.6667 0.3333 0.0882  3 Sn 2.78, 4 Pt 2.95-3.09, 4 Gd 3.04-3.05
Gd1 0.6667 0.3333 0.7524  4 Pt 3.03-3.09, 4 Pd 3.04-3.05
Gd2 0.3333 0.6667 0.2524  4 Pt 3.03-3.09, 4 Pd 3.04-3.05
Sn2 0.0000 0.0000 0.9963  3 Pt 2.75, 3 Pd 2.78
Pt2 0.3333 0.6667 0.9131  3 Sn 2.75, 1 Pd 2.95, 3 Gd 3.03

Output
* E: -47.42 eV for the cell shown
* magnetization: 0.00 μB per cell

=====

[2]
VASP calculation (PBE) on Gd2Sn2Pd3Pt after structural relaxation.

Lattice parameters (Å, degrees): 4.5934 4.5934 9.0562 90.00 90.00 120.00
With the nearest neighbours (Å) after each atom.
Element x y z (fractional)
Pd1 0.0000 0.0000 0.5848  3 Sn 2.76, 1 Pt 2.97, 4 Gd 3.04-3.06, 3 Pd 3.07
Gd1 0.3333 0.6667 0.7531  3 Pt 3.02, 5 Pd 3.04-3.06
Pd2 0.3333 0.6667 0.4149  3 Sn 2.76, 4 Pd 2.96-3.07, 4 Gd 3.05-3.06
Sn1 0.6667 0.3333 0.9982  3 Pt 2.76, 3 Pd 2.77
Pd3 0.3333 0.6667 0.0884  3 Sn 2.77, 1 Pd 2.96, 4 Gd 3.03-3.04, 3 Pt 3.09
Gd2 0.0000 0.0000 0.2492  7 Pd 3.03-3.05, 1 Pt 3.05
Pt1 0.0000 0.0000 0.9130  3 Sn 2.76, 4 Pd 2.97-3.09, 4 Gd 3.02-3.05
Sn2 0.6667 0.3333 0.4985  6 Pd 2.76

Output
* E: -46.24 eV for the cell shown
* magnetization: 0.00 μB per cell

=====

[3]
VASP calculation (PBE) on Gd3Sn3PdPt2 after structural relaxation.

Lattice parameters (Å, degrees): 7.5563 7.5563 4.0556 90.00 90.00 120.00
With the nearest neighbours (Å) after each atom.
Element x y z (fractional)
Gd1 0.5907 0.0000 0.0000  4 Pt 3.06, 1 Pd 3.09, 6 Sn 3.24-3.38
Sn1 0.0000 0.2562 0.5000  2 Pd 2.80, 2 Pt 2.86
Pt1 0.3333 0.6667 0.5000  3 Sn 2.86, 6 Gd 3.06
Gd2 0.4093 0.4093 0.0000  4 Pt 3.06, 1 Pd 3.09, 6 Sn 3.24-3.38
Pt2 0.6667 0.3333 0.5000  3 Sn 2.86, 6 Gd 3.06
Pd1 0.0000 0.0000 0.0000  6 Sn 2.80, 3 Gd 3.09
Sn2 0.7438 0.7438 0.5000  2 Pd 2.80, 2 Pt 2.86
Sn3 0.2562 0.0000 0.5000  2 Pd 2.80, 2 Pt 2.86
Gd3 0.0000 0.5907 0.0000  4 Pt 3.06, 1 Pd 3.09, 6 Sn 3.24-3.38

Output
* E: -52.70 eV for the cell shown
* magnetization: 0.00 μB per cell

=====

[4]
VASP calculation (PBE) on Tb2GdSn3PdPt2 after structural relaxation.

Lattice parameters (Å, degrees): 4.0177 7.5682 7.5682 120.01 90.00 90.00
With the nearest neighbours (Å) after each atom.
Element x y z (fractional)
Sn1 0.5000 0.0000 0.2580  2 Pd 2.80, 2 Pt 2.85
Sn2 0.5000 0.2580 0.0000  2 Pd 2.80, 2 Pt 2.85
Gd1 0.0000 0.4075 0.4075  4 Pt 3.05, 1 Pd 3.08, 6 Sn 3.23-3.37
Pt1 0.5000 0.3333 0.6668  3 Sn 2.85, 4 Tb 3.05, 2 Gd 3.05
Tb1 0.0000 0.0000 0.5925  4 Pt 3.05, 1 Pd 3.08, 6 Sn 3.23-3.37
Sn3 0.5000 0.7421 0.7421  2 Pd 2.80, 2 Pt 2.85
Tb2 0.0000 0.5925 0.0000  4 Pt 3.05, 1 Pd 3.08, 6 Sn 3.23-3.37
Pd1 0.0000 0.0000 0.0000  6 Sn 2.80, 1 Gd 3.08, 2 Tb 3.08
Pt2 0.5000 0.6668 0.3333  3 Sn 2.85, 4 Tb 3.05, 2 Gd 3.05

Output
* E: -52.66 eV for the cell shown
* magnetization: 0.00 μB per cell

=====

[5]
VASP calculation (PBE) on Gd2TmSn3PdPt2 after structural relaxation.

Lattice parameters (Å, degrees): 4.0251 7.5246 7.5246 119.63 90.00 90.00
With the nearest neighbours (Å) after each atom.
Element x y z (fractional)
Sn1 0.5000 0.7415 0.7415  2 Pt 2.82, 2 Pd 2.82
Sn2 0.5000 0.2578 0.0019  2 Pd 2.78, 2 Pt 2.83-2.88
Pt1 0.5000 0.6626 0.3346  3 Sn 2.82-2.88, 2 Tm 3.01, 4 Gd 3.06
Pd1 0.0000 0.0029 0.0029  6 Sn 2.78-2.82, 1 Tm 3.06, 2 Gd 3.09
Pt2 0.5000 0.3346 0.6626  3 Sn 2.82-2.88, 2 Tm 3.01, 4 Gd 3.06
Sn3 0.5000 0.0019 0.2578  2 Pd 2.78, 2 Pt 2.83-2.88
Tm1 0.0000 0.4078 0.4078  4 Pt 3.01, 1 Pd 3.06, 6 Sn 3.23-3.35
Gd1 0.0000 0.5911 0.9998  4 Pt 3.06, 1 Pd 3.09, 6 Sn 3.22-3.38
Gd2 0.0000 0.9998 0.5911  4 Pt 3.06, 1 Pd 3.09, 6 Sn 3.22-3.38

Output
* E: -52.49 eV for the cell shown
* magnetization: 0.00 μB per cell

=====

[6]
VASP calculation (PBE) on GdTm2Sn3PdPt2 after structural relaxation.

Lattice parameters (Å, degrees): 3.9945 7.5260 7.5260 120.36 90.00 90.00
With the nearest neighbours (Å) after each atom.
Element x y z (fractional)
Tm1 0.0000 0.0002 0.5921  4 Pt 3.01-3.02, 1 Pd 3.06, 6 Sn 3.21-3.35
Pd1 0.0000 0.9974 0.9974  6 Sn 2.76-2.80, 2 Tm 3.06, 1 Gd 3.08
Sn1 0.5000 0.2578 0.9985  2 Pt 2.79-2.84, 2 Pd 2.80
Sn2 0.5000 0.7426 0.7426  2 Pd 2.76, 2 Pt 2.85
Sn3 0.5000 0.9985 0.2578  2 Pt 2.79-2.84, 2 Pd 2.80
Pt1 0.5000 0.6703 0.3321  3 Sn 2.79-2.85, 4 Tm 3.01-3.02, 2 Gd 3.06
Tm2 0.0000 0.5921 0.0002  4 Pt 3.01-3.02, 1 Pd 3.06, 6 Sn 3.21-3.35
Pt2 0.5000 0.3321 0.6703  3 Sn 2.79-2.85, 4 Tm 3.01-3.02, 2 Gd 3.06
Gd1 0.0000 0.4090 0.4090  4 Pt 3.06, 1 Pd 3.08, 6 Sn 3.20-3.36

Output
* E: -52.29 eV for the cell shown
* magnetization: 0.00 μB per cell

=====

[7]
VASP calculation (PBE) on Gd2TmSn3Pd2Pt after structural relaxation.

Lattice parameters (Å, degrees): 3.9891 7.5582 7.5582 119.79 90.00 90.00
With the nearest neighbours (Å) after each atom.
Element x y z (fractional)
Pd1 0.5000 0.6624 0.3349  3 Sn 2.82-2.88, 2 Tm 3.02, 4 Gd 3.06
Sn1 0.5000 0.2603 0.0009  2 Pt 2.79, 2 Pd 2.83-2.88
Sn2 0.5000 0.0009 0.2603  2 Pt 2.79, 2 Pd 2.83-2.88
Pd2 0.5000 0.3349 0.6624  3 Sn 2.82-2.88, 2 Tm 3.02, 4 Gd 3.06
Gd1 0.0000 0.5958 0.9997  4 Pd 3.06, 1 Pt 3.07, 6 Sn 3.23-3.35
Gd2 0.0000 0.9997 0.5958  4 Pd 3.06, 1 Pt 3.07, 6 Sn 3.23-3.35
Pt1 0.0000 0.0031 0.0031  6 Sn 2.79-2.82, 1 Tm 3.03, 2 Gd 3.07
Tm1 0.0000 0.4022 0.4022  4 Pd 3.02, 1 Pt 3.03, 6 Sn 3.25-3.33
Sn3 0.5000 0.7407 0.7407  2 Pt 2.82, 2 Pd 2.82

Output
* E: -51.01 eV for the cell shown
* magnetization: 0.01 μB per cell

=====

[8]
VASP calculation (PBE) on Gd2YSn3PdPt2 after structural relaxation.

Lattice parameters (Å, degrees): 4.0325 7.5580 7.5580 119.99 90.00 90.00
With the nearest neighbours (Å) after each atom.
Element x y z (fractional)
Y1 0.0000 0.4075 0.4075  4 Pt 3.05, 1 Pd 3.08, 6 Sn 3.24-3.36
Sn1 0.5000 0.0006 0.2574  2 Pd 2.80, 2 Pt 2.85-2.86
Sn2 0.5000 0.2574 0.0006  2 Pd 2.80, 2 Pt 2.85-2.86
Sn3 0.5000 0.7424 0.7424  2 Pd 2.81, 2 Pt 2.85
Gd1 0.0000 0.9999 0.5918  4 Pt 3.05, 1 Pd 3.09, 6 Sn 3.23-3.37
Pd1 0.0000 0.0004 0.0004  6 Sn 2.80-2.81, 1 Y 3.08, 2 Gd 3.09
Pt1 0.5000 0.6664 0.3336  3 Sn 2.85-2.86, 2 Y 3.05, 4 Gd 3.05
Gd2 0.0000 0.5918 0.9999  4 Pt 3.05, 1 Pd 3.09, 6 Sn 3.23-3.37
Pt2 0.5000 0.3336 0.6664  3 Sn 2.85-2.86, 2 Y 3.05, 4 Gd 3.05

Output
* E: -54.51 eV for the cell shown
* magnetization: 0.00 μB per cell

=====

[9]
VASP calculation (PBE) on GdY2Sn3PdPt2 after structural relaxation.

Lattice parameters (Å, degrees): 4.0152 7.5610 7.5610 120.00 90.00 90.00
With the nearest neighbours (Å) after each atom.
Element x y z (fractional)
Sn1 0.5000 0.9998 0.2580  2 Pd 2.80, 2 Pt 2.85
Pt1 0.5000 0.3333 0.6668  3 Sn 2.85, 4 Y 3.05, 2 Gd 3.05
Sn2 0.5000 0.2580 0.9998  2 Pd 2.80, 2 Pt 2.85
Sn3 0.5000 0.7421 0.7421  2 Pd 2.80, 2 Pt 2.85
Y1 0.0000 0.0000 0.5926  4 Pt 3.05, 1 Pd 3.08, 6 Sn 3.23-3.36
Pt2 0.5000 0.6668 0.3333  3 Sn 2.85, 4 Y 3.05, 2 Gd 3.05
Gd1 0.0000 0.4076 0.4076  4 Pt 3.05, 1 Pd 3.08, 6 Sn 3.23-3.37
Pd1 0.0000 0.9999 0.9999  6 Sn 2.80, 2 Y 3.08, 1 Gd 3.08
Y2 0.0000 0.5926 0.0000  4 Pt 3.05, 1 Pd 3.08, 6 Sn 3.23-3.36

Output
* E: -56.33 eV for the cell shown
* magnetization: 0.00 μB per cell

=====

[10]
VASP calculation (PBE) on Gd2YSn3Pd2Pt after structural relaxation.

Lattice parameters (Å, degrees): 4.0100 7.5805 7.5805 120.00 90.00 90.00
With the nearest neighbours (Å) after each atom.
Element x y z (fractional)
Sn1 0.5000 0.9993 0.7412  2 Pt 2.80, 2 Pd 2.85-2.86
Pd1 0.5000 0.6662 0.3335  3 Sn 2.85-2.86, 4 Gd 3.05-3.06, 2 Y 3.05
Y1 0.0000 0.5965 0.5965  4 Pd 3.05, 1 Pt 3.06, 6 Sn 3.25-3.35
Gd1 0.0000 0.4047 0.0002  4 Pd 3.05-3.06, 1 Pt 3.07, 6 Sn 3.25-3.36
Pt1 0.0000 0.9997 0.9997  6 Sn 2.80-2.81, 1 Y 3.06, 2 Gd 3.07
Sn2 0.5000 0.7412 0.9993  2 Pt 2.80, 2 Pd 2.85-2.86
Pd2 0.5000 0.3335 0.6662  3 Sn 2.85-2.86, 4 Gd 3.05-3.06, 2 Y 3.05
Gd2 0.0000 0.0002 0.4047  4 Pd 3.05-3.06, 1 Pt 3.07, 6 Sn 3.25-3.36
Sn3 0.5000 0.2589 0.2589  2 Pt 2.81, 2 Pd 2.85

Output
* E: -53.06 eV for the cell shown
* magnetization: 0.00 μB per cell

=====

[11]
VASP calculation (PBE) on RbGdPdSe3 after structural relaxation.

Lattice parameters (Å, degrees): 8.6010 8.6010 9.9174 90.00 90.00 151.23
With the nearest neighbours (Å) after each atom.
Element x y z (fractional)
Rb1 0.7552 0.2448 0.7500  6 Se 3.46-3.53
Se1 0.6090 0.3910 0.4186  1 Pd 2.49
Se2 0.3910 0.6090 0.5814  1 Pd 2.49
Se3 0.3910 0.6090 0.9186  1 Pd 2.49
Pd1 0.4987 0.5013 0.2500  4 Se 2.49-2.62
Gd1 0.0000 0.0000 0.0000  6 Se 2.92
Pd2 0.5013 0.4987 0.7500  4 Se 2.49-2.62
Se4 0.6090 0.3910 0.0814  1 Pd 2.49
Se5 0.9079 0.0921 0.2500  2 Pd 2.62, 2 Gd 2.92
Gd2 0.0000 0.0000 0.5000  6 Se 2.92
Rb2 0.2448 0.7552 0.2500  6 Se 3.46-3.53
Se6 0.0921 0.9079 0.7500  2 Pd 2.62, 2 Gd 2.92

Output
* E: -56.47 eV for the cell shown
* magnetization: 0.00 μB per cell